Below is a relaxed structure of La3CdP, with properties calculated at the PBE level.

```
La3CdP
1.0
5.6070 0.0000 0.0000
0.0000 5.6070 0.0000
0.0000 0.0000 5.6070
La P Cd
3 1 1
Direct
0.0000 0.5000 0.0000
0.5000 0.0000 0.0000
0.0000 0.0000 0.5000
0.0000 0.0000 0.0000
0.5000 0.5000 0.5000
```

ρ ... 5.3 g/cm³
D(E_F) ... 6.8 states/eV/f.u.
Raw total energy ... -4.793 eV/atom
E_form ... -0.571 eV/atom

=====

Below is a relaxed structure of Rb2Be2Si, with properties calculated at the PBE level.

```
Rb2Be2Si
1.0
-2.0075 -1.5213 3.7388
0.0161 -4.1786 -1.6916
5.6720 -1.0398 2.6225
Rb Be Si
2 2 1
Direct
0.0000 0.0000 0.5000
0.5000 0.5000 0.5000
0.0000 0.5000 0.0000
0.5000 0.0000 0.0000
0.0000 0.0000 0.0000
```

ρ ... 2.8 g/cm³
D(E_F) ... 3.1 states/eV/f.u.
Raw total energy ... -2.132 eV/atom
Raw formation energy ... 830 meV/atom